Crystalline KLiAs2Br at its relaxed geometry, computed with PBE.

The value obtained for the total energy is -0.1095 Ha/atom. The calculation puts the energy relative to the lowest polymorph listed for this composition at 0.0000 eV/atom. The value obtained for the spin magnetization is 0.00 μB per formula unit.

The space group is P4/mmm (No. 123) and the conventional cell measures 4.559, 4.559 and 6.731 Å, with angles of 90.00, 90.00 and 90.00 degrees. Symmetry generates all atoms from K at (0.000, 0.000, 0.000), Li at (0.500, 0.500, 0.500), As at (0.000, 0.500, 0.500) and Br at (0.500, 0.500, 0.000).

***

Crystalline KLiAs2Br at its relaxed geometry, computed with PBE.

The value obtained for the total energy is -0.0810 Ha/atom. The calculation puts the energy relative to the lowest polymorph listed for this composition at 0.7776 eV/atom. The value obtained for the spin magnetization is 5.01 μB per formula unit.

The space group is P4/mmm (No. 123) and the conventional cell measures 6.308, 6.308 and 6.036 Å, with angles of 90.00, 90.00 and 90.00 degrees. Symmetry generates all atoms from K at (0.000, 0.000, 0.000), Li at (0.500, 0.500, 0.500), As at (0.000, 0.500, 0.000) and Br at (0.000, 0.000, 0.500).

***

no.,N(E_F) (states/eV/atom)
1,0.7295
2,0.4929